[1]
A geometry-optimized Zr2NiPtAu structure. Source: Alexandria, functional PBE-GGA.

Values from the calculation:
- ΔH_f (0 K) (eV/f.u.) = 3.52
- calculated density (g/cm³) = 9.0
- E_tot (eV/atom) = -5.736
- symmetry = P4/mmm

Lattice parameters (Å, degrees): 5.0820 4.5426 5.0820 90.00 90.00 90.00
Closest atoms and distances in Å follow each position.
Atoms (fractional coordinates):
Zr: 0.5000 0.0000 0.0000  2 Au 2.54
Zr: 0.0000 0.0000 0.5000  2 Au 2.54
Pt: 0.5000 0.5000 0.5000  8 Zr 3.41, 4 Ni 3.59
Au: 0.0000 0.0000 0.0000  2 Ni 2.27, 4 Zr 2.54
Ni: 0.0000 0.5000 0.0000  2 Au 2.27

[2]
A geometry-optimized Pu3Ni8Au structure. Source: Alexandria, functional PBE-GGA.

Values from the calculation:
- ΔH_f (0 K) (eV/f.u.) = -3.05
- calculated density (g/cm³) = 13.2
- E_tot (eV/atom) = -7.964
- symmetry = R3m

Lattice parameters (Å, degrees): 4.9912 4.9912 8.6615 73.25 73.25 60.00
Closest atoms and distances in Å follow each position.
Atoms (fractional coordinates):
Ni: 0.9376 0.4365 0.1894  6 Ni 2.48-2.51
Ni: 0.6874 0.6874 0.9378  6 Ni 2.51
Ni: 0.4365 0.9376 0.1894  6 Ni 2.48-2.51
Ni: 0.4396 0.9376 0.6853  6 Ni 2.49-2.51
Ni: 0.1876 0.1876 0.4372  6 Ni 2.48-2.49
Ni: 0.4365 0.4365 0.1894  6 Ni 2.48-2.51
Ni: 0.9376 0.9376 0.6853  6 Ni 2.49-2.51
Ni: 0.9376 0.4396 0.6853  6 Ni 2.49-2.51
Au: 0.8742 0.8742 0.3775  12 Ni 2.89-2.93, 4 Pu 3.03
Pu: 0.9977 0.9977 0.0069  12 Ni 2.91-3.00, 1 Au 3.03, 3 Pu 3.08
Pu: 0.5024 0.5024 0.4927  12 Ni 2.87-2.95, 3 Au 3.03, 1 Pu 3.11
Pu: 0.3754 0.3754 0.8739  12 Ni 2.93-2.95, 4 Pu 3.08-3.11

[3]
A geometry-optimized PuNi6Au2 structure. Source: Alexandria, functional PBE-GGA.

Values from the calculation:
- ΔH_f (0 K) (eV/f.u.) = 2.59
- calculated density (g/cm³) = 12.5
- E_tot (eV/atom) = -5.888
- symmetry = Fm-3m

Lattice parameters (Å, degrees): 5.7075 5.7075 5.7075 60.00 60.00 60.00
Closest atoms and distances in Å follow each position.
Atoms (fractional coordinates):
Ni: 0.2889 0.7111 0.7111  1 Pu 2.33, 4 Ni 2.41
Ni: 0.7111 0.2889 0.2889  1 Pu 2.33, 4 Ni 2.41
Ni: 0.2889 0.7111 0.2889  1 Pu 2.33, 4 Ni 2.41
Ni: 0.7111 0.7111 0.2889  1 Pu 2.33, 4 Ni 2.41
Ni: 0.7111 0.2889 0.7111  1 Pu 2.33, 4 Ni 2.41
Ni: 0.2889 0.2889 0.7111  1 Pu 2.33, 4 Ni 2.41
Au: 0.7500 0.7500 0.7500  12 Ni 2.87
Au: 0.2500 0.2500 0.2500  12 Ni 2.87
Pu: 0.0000 0.0000 0.0000  6 Ni 2.33

[4]
A geometry-optimized PuNi4Au8 structure. Source: Alexandria, functional PBE-GGA.

Values from the calculation:
- ΔH_f (0 K) (eV/f.u.) = -1.39
- calculated density (g/cm³) = 15.5
- E_tot (eV/atom) = -5.005
- symmetry = I4/mmm

Lattice parameters (Å, degrees): 5.3010 6.9587 6.9587 81.66 67.61 67.61
Closest atoms and distances in Å follow each position.
Atoms (fractional coordinates):
Au: 0.3361 0.6639 0.6639  4 Ni 2.75, 5 Au 2.85-2.98, 1 Pu 3.06
Au: 0.0000 0.3361 0.6639  4 Ni 2.75, 5 Au 2.85-2.98, 1 Pu 3.06
Au: 0.7197 0.7803 0.7803  4 Ni 2.65, 6 Au 2.83-2.95
Au: 0.2803 0.2197 0.2197  4 Ni 2.65, 6 Au 2.83-2.95
Au: 0.5000 0.7803 0.2197  4 Ni 2.65, 6 Au 2.83-2.95
Au: 0.6639 0.3361 0.3361  4 Ni 2.75, 5 Au 2.85-2.98, 1 Pu 3.06
Au: 0.5000 0.2197 0.7803  4 Ni 2.65, 6 Au 2.83-2.95
Au: 0.0000 0.6639 0.3361  4 Ni 2.75, 5 Au 2.85-2.98, 1 Pu 3.06
Pu: 0.0000 0.0000 0.0000  12 Au 3.06-3.32
Ni: 0.5000 0.5000 0.0000  8 Au 2.65-2.75, 2 Ni 2.65
Ni: 0.5000 0.0000 0.5000  8 Au 2.65-2.75, 2 Ni 2.65
Ni: 0.0000 0.5000 0.0000  8 Au 2.65-2.75, 2 Ni 2.65
Ni: 0.0000 0.0000 0.5000  8 Au 2.65-2.75, 2 Ni 2.65

[5]
A geometry-optimized PuNiAu4 structure. Source: Alexandria, functional PBE-GGA.

Values from the calculation:
- ΔH_f (0 K) (eV/f.u.) = -0.30
- calculated density (g/cm³) = 15.2
- E_tot (eV/atom) = -5.586
- symmetry = F-43m

Lattice parameters (Å, degrees): 5.5209 5.5209 5.5209 60.00 60.00 60.00
Closest atoms and distances in Å follow each position.
Atoms (fractional coordinates):
Au: 0.1234 0.6255 0.6255  6 Au 2.75-2.77
Au: 0.6255 0.6255 0.1234  6 Au 2.75-2.77
Au: 0.6255 0.6255 0.6255  6 Au 2.75-2.77
Au: 0.6255 0.1234 0.6255  6 Au 2.75-2.77
Ni: 0.0000 0.0000 0.0000  12 Au 3.24, 4 Pu 3.38
Pu: 0.2500 0.2500 0.2500  12 Au 3.24, 4 Ni 3.38

[6]
A geometry-optimized PuNi2Au9 structure. Source: Alexandria, functional PBE-GGA.

Values from the calculation:
- ΔH_f (0 K) (eV/f.u.) = -0.67
- calculated density (g/cm³) = 15.9
- E_tot (eV/atom) = -4.672
- symmetry = I4_1/amd

Lattice parameters (Å, degrees): 7.0204 8.7160 8.7160 80.67 66.25 66.25
Closest atoms and distances in Å follow each position.
Atoms (fractional coordinates):
Au: 0.7503 0.8160 0.5740  2 Ni 2.68-2.70, 6 Au 2.73-2.99
Au: 0.0000 0.0000 0.0000  8 Au 2.93, 4 Ni 2.95
Au: 0.6757 0.1840 0.5740  2 Ni 2.68-2.70, 6 Au 2.73-2.99
Au: 0.6097 0.3160 0.0740  2 Ni 2.68-2.70, 6 Au 2.73-2.99
Au: 0.4337 0.4260 0.8160  2 Ni 2.68-2.70, 6 Au 2.73-2.99
Au: 0.9997 0.9260 0.6840  2 Ni 2.68-2.70, 6 Au 2.73-2.99
Au: 0.0743 0.9260 0.3160  2 Ni 2.68-2.70, 6 Au 2.73-2.99
Au: 0.6097 0.0740 0.3160  2 Ni 2.68-2.70, 6 Au 2.73-2.99
Au: 0.6757 0.5740 0.1840  2 Ni 2.68-2.70, 6 Au 2.73-2.99
Au: 0.0743 0.3160 0.9260  2 Ni 2.68-2.70, 6 Au 2.73-2.99
Au: 0.3163 0.0740 0.6840  2 Ni 2.68-2.70, 6 Au 2.73-2.99
Au: 0.7500 0.5000 0.5000  8 Au 2.93, 4 Ni 2.95
Au: 0.1403 0.1840 0.4260  2 Ni 2.68-2.70, 6 Au 2.73-2.99
Au: 0.9997 0.6840 0.9260  2 Ni 2.68-2.70, 6 Au 2.73-2.99
Au: 0.1403 0.4260 0.1840  2 Ni 2.68-2.70, 6 Au 2.73-2.99
Au: 0.4337 0.8160 0.4260  2 Ni 2.68-2.70, 6 Au 2.73-2.99
Au: 0.3163 0.6840 0.0740  2 Ni 2.68-2.70, 6 Au 2.73-2.99
Au: 0.7503 0.5740 0.8160  2 Ni 2.68-2.70, 6 Au 2.73-2.99
Pu: 0.5000 0.0000 0.0000  18 Au 3.36-3.72
Pu: 0.2500 0.5000 0.5000  18 Au 3.36-3.72
Ni: 0.3750 0.7500 0.7500  10 Au 2.68-2.95
Ni: 0.8750 0.2500 0.7500  10 Au 2.68-2.95
Ni: 0.8750 0.2500 0.2500  10 Au 2.68-2.95
Ni: 0.8750 0.7500 0.2500  10 Au 2.68-2.95